Entry from the Alexandria database: crystalline Ba2InNi at its relaxed geometry (GGA-PBEsol).

a = 5.5946 Å, b = 5.5946 Å, c = 4.0207 Å
α = 90.00°, β = 90.00°, γ = 90.00°
Closest atoms and distances in Å follow each position.
Sites, in units of the cell vectors:
Ba1 0.0000 0.5000 0.0000  4 In 3.44, 4 Ni 3.44
Ba2 0.5000 0.0000 0.0000  4 In 3.44, 4 Ni 3.44
In1 0.0000 0.0000 0.5000  8 Ba 3.44
Ni1 0.5000 0.5000 0.5000  8 Ba 3.44

As for the symmetry: P4/mmm (123). As for the formation energy: 0.06 eV per atom. Its spin magnetization is 0.00 Bohr magnetons per cell. The uncorrected energy is -13.2 eV for the cell shown. The density of states at the Fermi level is 3.19 states/eV per cell.

Entry from the Alexandria database: crystalline BaSc2InNi at its relaxed geometry (GGA-PBEsol).

a = 5.0240 Å, b = 5.0240 Å, c = 5.0218 Å
α = 90.00°, β = 90.00°, γ = 90.00°
Closest atoms and distances in Å follow each position.
Sites, in units of the cell vectors:
Ba1 0.0000 0.0000 0.0000  8 Sc 3.55, 4 In 3.55
Sc1 0.0000 0.5000 0.5000  2 Ni 2.51
Sc2 0.5000 0.0000 0.5000  2 Ni 2.51
In1 0.5000 0.5000 0.0000  2 Ni 2.51
Ni1 0.5000 0.5000 0.5000  2 In 2.51, 4 Sc 2.51

As for the symmetry: P4/mmm (123). As for the formation energy: -0.10 eV per atom. Its spin magnetization is 0.01 Bohr magnetons per cell. The uncorrected energy is -25.0 eV for the cell shown. The density of states at the Fermi level is 6.92 states/eV per cell.

Entry from the Alexandria database: crystalline BaIn2O4 at its relaxed geometry (GGA-PBEsol).

a = 10.4248 Å, b = 5.8433 Å, c = 14.4668 Å
α = 90.00°, β = 109.92°, γ = 90.00°
Closest atoms and distances in Å follow each position.
Sites, in units of the cell vectors:
Ba1 0.0787 0.2437 0.4386  4 O 2.64-2.84
Ba2 0.0787 0.2563 0.9386  4 O 2.64-2.84
Ba3 0.2452 0.7433 0.3088  5 O 2.58-2.83
Ba4 0.2452 0.7567 0.8088  5 O 2.58-2.83
Ba5 0.7548 0.2433 0.1912  5 O 2.58-2.83
Ba6 0.7548 0.2567 0.6912  5 O 2.58-2.83
Ba7 0.9213 0.7437 0.0614  4 O 2.64-2.84
Ba8 0.9213 0.7563 0.5614  4 O 2.64-2.84
In1 0.0826 0.2433 0.1861  6 O 2.08-2.30
In2 0.0826 0.2567 0.6861  6 O 2.08-2.30
In3 0.2732 0.7485 0.5696  5 O 2.09-2.32
In4 0.2732 0.7515 0.0696  5 O 2.09-2.32
In5 0.3787 0.2450 0.6928  6 O 2.14-2.35
In6 0.3787 0.2550 0.1928  6 O 2.14-2.35
In7 0.4443 0.2460 0.4455  4 O 2.07-2.18
In8 0.4443 0.2540 0.9455  4 O 2.07-2.18
In9 0.5557 0.7460 0.0545  4 O 2.07-2.18
In10 0.5557 0.7540 0.5545  4 O 2.07-2.18
In11 0.6213 0.7450 0.8072  6 O 2.14-2.35
In12 0.6213 0.7550 0.3072  6 O 2.14-2.35
In13 0.7268 0.2485 0.9304  5 O 2.09-2.32
In14 0.7268 0.2515 0.4304  5 O 2.09-2.32
In15 0.9174 0.7433 0.3139  6 O 2.08-2.30
In16 0.9174 0.7567 0.8139  6 O 2.08-2.30
O1 0.0087 0.0172 0.2674  2 In 2.08-2.09
O2 0.0087 0.4828 0.7674  2 In 2.08-2.09
O3 0.0910 0.6952 0.4461  2 In 2.14-2.16
O4 0.0910 0.8048 0.9461  2 In 2.14-2.16
O5 0.1878 0.0409 0.6145  3 In 2.13-2.27
O6 0.1878 0.4591 0.1145  3 In 2.13-2.27
O7 0.2152 0.5063 0.6539  3 In 2.09-2.21
O8 0.2152 0.9937 0.1539  3 In 2.09-2.21
O9 0.2824 0.2024 0.8163  2 In 2.07-2.30
O10 0.2824 0.2976 0.3163  2 In 2.07-2.30
O11 0.3670 0.5768 0.9794  3 In 2.14-2.17
O12 0.3670 0.9232 0.4794  3 In 2.14-2.17
O13 0.4193 0.0528 0.0655  4 In 2.18-2.35
O14 0.4193 0.4472 0.5655  4 In 2.18-2.35
O15 0.4613 0.5973 0.1906  3 In 2.14-2.32
O16 0.4613 0.9027 0.6906  3 In 2.14-2.32
O17 0.5387 0.0973 0.3094  3 In 2.14-2.32
O18 0.5387 0.4027 0.8094  3 In 2.14-2.32
O19 0.5807 0.5528 0.4345  4 In 2.18-2.35
O20 0.5807 0.9472 0.9345  4 In 2.18-2.35
O21 0.6330 0.0768 0.5206  3 In 2.14-2.17
O22 0.6330 0.4232 0.0206  3 In 2.14-2.17
O23 0.7176 0.7024 0.6837  2 In 2.07-2.30
O24 0.7176 0.7976 0.1837  2 In 2.07-2.30
O25 0.7848 0.0063 0.8461  3 In 2.09-2.21
O26 0.7848 0.4937 0.3461  3 In 2.09-2.21
O27 0.8122 0.5409 0.8855  3 In 2.13-2.27
O28 0.8122 0.9591 0.3855  3 In 2.13-2.27
O29 0.9090 0.1952 0.0539  2 In 2.14-2.16
O30 0.9090 0.3048 0.5539  2 In 2.14-2.16
O31 0.9913 0.5172 0.2326  2 In 2.08-2.09
O32 0.9913 0.9828 0.7326  2 In 2.08-2.09

As for the symmetry: P2_1/c (14). For the raw formation energy, the calculation gives -1.91 eV/atom. Its spin magnetization is 0.00 Bohr magnetons per cell. The uncorrected energy is -339.6 eV for the cell shown.

Entry from the Alexandria database: crystalline BaInO3 at its relaxed geometry (GGA-PBEsol).

a = 4.2250 Å, b = 4.2250 Å, c = 4.2250 Å
α = 90.00°, β = 90.00°, γ = 90.00°
Closest atoms and distances in Å follow each position.
Sites, in units of the cell vectors:
Ba1 0.0000 0.0000 0.0000  12 O 2.99
In1 0.5000 0.5000 0.5000  6 O 2.11
O1 0.0000 0.5000 0.5000  2 In 2.11
O2 0.5000 0.0000 0.5000  2 In 2.11
O3 0.5000 0.5000 0.0000  2 In 2.11

As for the symmetry: Pm-3m (221). For the raw formation energy, the calculation gives -1.78 eV/atom. Its spin magnetization is 0.96 Bohr magnetons per cell. The uncorrected energy is -29.8 eV for the cell shown. The density of states at the Fermi level is 3.93 states/eV per cell.

Entry from the Alexandria database: crystalline Ba2In2O5 at its relaxed geometry (GGA-PBEsol).

a = 4.0315 Å, b = 8.5658 Å, c = 8.5991 Å
α = 90.00°, β = 90.00°, γ = 90.00°
Closest atoms and distances in Å follow each position.
Sites, in units of the cell vectors:
Ba1 0.0000 0.2440 0.0000  8 O 2.68-2.96
Ba2 0.0000 0.2462 0.5323  7 O 2.77-2.97
Ba3 0.0000 0.7538 0.5323  7 O 2.77-2.97
Ba4 0.0000 0.7560 0.0000  8 O 2.68-2.96
In1 0.5000 0.0000 0.2596  4 O 2.04-2.10
In2 0.5000 0.0000 0.7643  5 O 2.03-2.20
In3 0.5000 0.5000 0.2695  5 O 2.07-2.18
In4 0.5000 0.5000 0.7523  5 O 2.08-2.11
O1 0.0000 0.0000 0.7404  2 In 2.03
O2 0.0000 0.5000 0.1884  2 In 2.13
O3 0.0000 0.5000 0.8211  2 In 2.10
O4 0.5000 0.0000 0.0202  2 In 2.06-2.20
O5 0.5000 0.0000 0.4972  1 In 2.04
O6 0.5000 0.2456 0.2518  2 In 2.10-2.18
O7 0.5000 0.2542 0.7700  2 In 2.11-2.18
O8 0.5000 0.5000 0.5100  2 In 2.07-2.08
O9 0.5000 0.7458 0.7700  2 In 2.11-2.18
O10 0.5000 0.7544 0.2518  2 In 2.10-2.18

As for the symmetry: Pmm2 (25). For the raw formation energy, the calculation gives -2.00 eV/atom. Its spin magnetization is 0.00 Bohr magnetons per cell. The uncorrected energy is -109.1 eV for the cell shown. The density of states at the Fermi level is 0.04 states/eV per cell.

Entry from the Alexandria database: crystalline Ba2In2O5 at its relaxed geometry (GGA-PBEsol).

a = 4.1185 Å, b = 8.6043 Å, c = 4.2479 Å
α = 90.00°, β = 90.00°, γ = 90.00°
Closest atoms and distances in Å follow each position.
Sites, in units of the cell vectors:
Ba1 0.0000 0.2175 0.0000  7 O 2.63-2.86
Ba2 0.0000 0.7825 0.0000  7 O 2.63-2.86
In1 0.5000 0.0000 0.5096  4 O 2.06-2.13
In2 0.5000 0.5000 0.4297  4 O 2.04-2.21
O1 0.0000 0.0000 0.4905  2 In 2.06
O2 0.0000 0.5000 0.2388  2 In 2.21
O3 0.5000 0.0000 0.0093  2 In 2.12-2.13
O4 0.5000 0.2715 0.5573  1 In 2.04
O5 0.5000 0.7285 0.5573  1 In 2.04

As for the symmetry: Pmm2 (25). For the raw formation energy, the calculation gives -2.01 eV/atom. Its spin magnetization is 0.00 Bohr magnetons per cell. The uncorrected energy is -54.6 eV for the cell shown. The density of states at the Fermi level is 0.00 states/eV per cell.

Entry from the Alexandria database: crystalline Ba2In2O5 at its relaxed geometry (GGA-PBEsol).

a = 9.3664 Å, b = 9.3664 Å, c = 9.3664 Å
α = 54.44°, β = 141.70°, γ = 142.83°
Closest atoms and distances in Å follow each position.
Sites, in units of the cell vectors:
Ba1 0.0161 0.1088 0.1249  7 O 2.64-2.86
Ba2 0.0161 0.3912 0.4073  7 O 2.64-2.86
Ba3 0.9839 0.6088 0.5927  7 O 2.64-2.86
Ba4 0.9839 0.8912 0.8751  7 O 2.64-2.86
In1 0.4607 0.7752 0.1856  4 O 2.05-2.10
In2 0.4949 0.4949 0.0000  6 O 2.14-2.31
In3 0.4949 0.9949 0.5000  6 O 2.14-2.31
In4 0.5896 0.2752 0.8144  4 O 2.05-2.10
O1 0.0003 0.6196 0.8807  2 In 2.09-2.10
O2 0.4151 0.1075 0.5817  1 In 2.05
O3 0.4151 0.3334 0.8076  1 In 2.05
O4 0.5043 0.2411 0.2467  2 In 2.14-2.15
O5 0.5043 0.7576 0.7631  2 In 2.14-2.15
O6 0.5258 0.6075 0.1924  1 In 2.05
O7 0.5258 0.8334 0.4183  1 In 2.05
O8 0.7390 0.1196 0.1193  2 In 2.09-2.10
O9 0.9945 0.2576 0.7533  2 In 2.14-2.15
O10 0.9945 0.7411 0.2369  2 In 2.14-2.15

As for the symmetry: Ima2 (46). For the raw formation energy, the calculation gives -2.07 eV/atom. Its spin magnetization is 0.00 Bohr magnetons per cell. The uncorrected energy is -110.3 eV for the cell shown.

Entry from the Alexandria database: crystalline Ba3In2O6 at its relaxed geometry (GGA-PBEsol).

a = 11.2120 Å, b = 11.2120 Å, c = 11.2120 Å
α = 158.43°, β = 158.43°, γ = 30.69°
Closest atoms and distances in Å follow each position.
Sites, in units of the cell vectors:
Ba1 0.0000 0.0000 0.0000  8 O 2.77
Ba2 0.1826 0.1826 0.0000  1 O 2.57
Ba3 0.8174 0.8174 0.0000  1 O 2.57
In1 0.3976 0.3976 0.0000  5 O 2.08-2.14
In2 0.6024 0.6024 0.0000  5 O 2.08-2.14
O1 0.0838 0.5838 0.5000  2 In 2.14
O2 0.3013 0.3013 0.0000  1 In 2.08
O3 0.4162 0.9162 0.5000  2 In 2.14
O4 0.5838 0.0838 0.5000  2 In 2.14
O5 0.6987 0.6987 0.0000  1 In 2.08
O6 0.9162 0.4162 0.5000  2 In 2.14

As for the symmetry: I4/mmm (139). For the raw formation energy, the calculation gives -2.16 eV/atom. Its spin magnetization is 0.00 Bohr magnetons per cell. The uncorrected energy is -67.7 eV for the cell shown.

The highest uncorrected energy belongs to which entry? Ba2InNi

Copy entry 8 word for word.
Entry from the Alexandria database: crystalline Ba3In2O6 at its relaxed geometry (GGA-PBEsol).

a = 11.2120 Å, b = 11.2120 Å, c = 11.2120 Å
α = 158.43°, β = 158.43°, γ = 30.69°
Closest atoms and distances in Å follow each position.
Sites, in units of the cell vectors:
Ba1 0.0000 0.0000 0.0000  8 O 2.77
Ba2 0.1826 0.1826 0.0000  1 O 2.57
Ba3 0.8174 0.8174 0.0000  1 O 2.57
In1 0.3976 0.3976 0.0000  5 O 2.08-2.14
In2 0.6024 0.6024 0.0000  5 O 2.08-2.14
O1 0.0838 0.5838 0.5000  2 In 2.14
O2 0.3013 0.3013 0.0000  1 In 2.08
O3 0.4162 0.9162 0.5000  2 In 2.14
O4 0.5838 0.0838 0.5000  2 In 2.14
O5 0.6987 0.6987 0.0000  1 In 2.08
O6 0.9162 0.4162 0.5000  2 In 2.14

As for the symmetry: I4/mmm (139). For the raw formation energy, the calculation gives -2.16 eV/atom. Its spin magnetization is 0.00 Bohr magnetons per cell. The uncorrected energy is -67.7 eV for the cell shown.

Which of these has the lowest uncorrected energy? BaIn2O4